w) VASP calculation (PBE) on a geometry-optimized SbPd6Pb structure.

a = 4.701 Å, b = 5.774 Å, c = 5.774 Å
α = 120.00°, β = 90.00°, γ = 90.00°
Sites, in units of the cell vectors:
Sb: 0.500 0.417 0.583
Pd: 0.000 0.085 0.418
Pd: 0.000 0.582 0.915
Pd: 0.000 0.582 0.418
Pd: 0.500 0.422 0.086
Pd: 0.500 0.914 0.578
Pd: 0.500 0.914 0.086
Pb: 0.000 0.083 0.917

## Properties
* DOS(E_F): 2.6 states/eV/f.u.

=====

x) VASP calculation (PBE) on a geometry-optimized SbPd6Pb structure.

a = 4.723 Å, b = 4.723 Å, c = 7.509 Å
α = 76.42°, β = 76.42°, γ = 71.60°
Sites, in units of the cell vectors:
Sb: 0.500 0.500 0.500
Pd: 0.060 0.543 0.306
Pd: 0.543 0.060 0.306
Pd: 0.457 0.940 0.694
Pd: 0.940 0.457 0.694
Pd: 0.365 0.365 0.926
Pd: 0.635 0.635 0.074
Pb: 0.000 0.000 0.000

## Properties
* DOS(E_F): 4.2 states/eV/f.u.

=====

Stability check: which of them is most stable? w).

=====

w) VASP calculation (PBE) on a geometry-optimized Sb2PdPb2 structure.

a = 6.993 Å, b = 6.993 Å, c = 5.712 Å
α = 90.00°, β = 90.00°, γ = 90.00°
Sites, in units of the cell vectors:
Pb: 0.189 0.689 0.500
Pb: 0.689 0.811 0.500
Pb: 0.811 0.311 0.500
Pb: 0.311 0.189 0.500
Sb: 0.353 0.853 0.000
Sb: 0.853 0.647 0.000
Sb: 0.647 0.147 0.000
Sb: 0.147 0.353 0.000
Pd: 0.000 0.000 0.000
Pd: 0.500 0.500 0.000

## Properties
* DOS(E_F): 3.3 states/eV/f.u.

=====

x) VASP calculation (PBE) on a geometry-optimized Sb2PdPb2 structure.

a = 5.932 Å, b = 6.232 Å, c = 8.413 Å
α = 111.74°, β = 110.64°, γ = 90.00°
Sites, in units of the cell vectors:
Sb: 0.421 0.096 0.841
Sb: 0.579 0.904 0.159
Sb: 0.079 0.255 0.159
Sb: 0.921 0.745 0.841
Pd: 0.750 0.500 0.000
Pd: 0.250 0.500 0.000
Pb: 0.176 0.855 0.352
Pb: 0.824 0.145 0.648
Pb: 0.324 0.503 0.648
Pb: 0.676 0.497 0.352

## Properties
* DOS(E_F): 2.5 states/eV/f.u.

=====

y) VASP calculation (PBE) on a geometry-optimized Sb2PdPb2 structure.

a = 7.467 Å, b = 7.467 Å, c = 5.226 Å
α = 90.00°, β = 90.00°, γ = 90.00°
Sites, in units of the cell vectors:
Pb: 0.329 0.829 0.000
Pb: 0.829 0.671 0.000
Pb: 0.671 0.171 0.000
Pb: 0.171 0.329 0.000
Sb: 0.134 0.634 0.500
Sb: 0.634 0.866 0.500
Sb: 0.866 0.366 0.500
Sb: 0.366 0.134 0.500
Pd: 0.000 0.000 0.000
Pd: 0.500 0.500 0.000

## Properties
* DOS(E_F): 1.4 states/eV/f.u.

=====

Stability check: which of them is most stable? x).

=====

w) VASP calculation (PBE) on a geometry-optimized Sb2Pd5Pb2 structure.

a = 4.829 Å, b = 7.074 Å, c = 7.462 Å
α = 120.15°, β = 90.00°, γ = 109.96°
Sites, in units of the cell vectors:
Sb: 0.153 0.306 0.846
Sb: 0.847 0.694 0.154
Pd: 0.404 0.807 0.081
Pd: 0.596 0.193 0.919
Pd: 0.087 0.174 0.442
Pd: 0.913 0.826 0.558
Pd: 0.000 0.000 0.000
Pb: 0.346 0.691 0.660
Pb: 0.654 0.309 0.340

## Properties
* DOS(E_F): 4.0 states/eV/f.u.

=====

x) VASP calculation (PBE) on a geometry-optimized Sb2Pd5Pb2 structure.

a = 4.208 Å, b = 6.711 Å, c = 9.409 Å
α = 48.46°, β = 102.94°, γ = 90.01°
Sites, in units of the cell vectors:
Sb: 0.476 0.312 0.952
Sb: 0.524 0.688 0.048
Pd: 0.157 0.437 0.314
Pd: 0.663 0.128 0.325
Pd: 0.337 0.872 0.675
Pd: 0.843 0.563 0.686
Pd: 0.000 0.000 0.000
Pb: 0.197 0.795 0.393
Pb: 0.803 0.205 0.607

## Properties
* DOS(E_F): 3.6 states/eV/f.u.

=====

Stability check: which of them is most stable? x).

=====

w) VASP calculation (PBE) on a geometry-optimized SbTe2PdPb structure.

a = 5.803 Å, b = 5.803 Å, c = 5.790 Å
α = 90.00°, β = 90.00°, γ = 90.00°
Sites, in units of the cell vectors:
Pb: 0.000 0.000 0.000
Sb: 0.000 0.000 0.500
Te: 0.000 0.500 0.000
Te: 0.500 0.000 0.000
Pd: 0.500 0.500 0.500

## Properties
* DOS(E_F): 7.9 states/eV/f.u.

=====

x) VASP calculation (PBE) on a geometry-optimized SbTe2PdPb structure.

a = 5.504 Å, b = 5.504 Å, c = 5.057 Å
α = 90.00°, β = 90.00°, γ = 90.00°
Sites, in units of the cell vectors:
Pb: 0.500 0.500 0.500
Sb: 0.000 0.000 0.500
Te: 0.000 0.500 0.000
Te: 0.500 0.000 0.000
Pd: 0.000 0.000 0.000

## Properties
* DOS(E_F): 4.6 states/eV/f.u.

=====

Stability check: which of them is most stable? x).

=====

w) VASP calculation (PBE) on a geometry-optimized ScPd3Pb structure.

a = 5.608 Å, b = 7.683 Å, c = 8.967 Å
α = 90.05°, β = 90.00°, γ = 90.00°
Sites, in units of the cell vectors:
Sc: 0.750 0.613 0.125
Sc: 0.250 0.387 0.875
Sc: 0.250 0.387 0.375
Sc: 0.750 0.613 0.625
Pd: 0.004 0.736 0.375
Pd: 0.996 0.264 0.625
Pd: 0.504 0.264 0.125
Pd: 0.496 0.736 0.875
Pd: 0.496 0.736 0.375
Pd: 0.504 0.264 0.625
Pd: 0.996 0.264 0.125
Pd: 0.004 0.736 0.875
Pd: 0.250 0.588 0.625
Pd: 0.750 0.412 0.375
Pd: 0.750 0.412 0.875
Pd: 0.250 0.588 0.125
Pb: 0.250 0.948 0.625
Pb: 0.750 0.052 0.375
Pb: 0.750 0.052 0.875
Pb: 0.250 0.948 0.125

## Properties
* DOS(E_F): 3.3 states/eV/f.u.

=====

x) VASP calculation (PBE) on a geometry-optimized ScPd3Pb structure.

a = 4.860 Å, b = 4.860 Å, c = 4.860 Å
α = 90.00°, β = 90.00°, γ = 90.00°
Sites, in units of the cell vectors:
Pb: 0.500 0.500 0.500
Sc: 0.000 0.000 0.000
Pd: 0.000 0.500 0.000
Pd: 0.000 0.000 0.500
Pd: 0.500 0.000 0.000

## Properties
* DOS(E_F): 1.7 states/eV/f.u.

=====

Stability check: which of them is most stable? w).

=====

w) VASP calculation (PBE) on a geometry-optimized ScPdPb3 structure.

a = 5.338 Å, b = 5.338 Å, c = 5.338 Å
α = 90.00°, β = 90.00°, γ = 90.00°
Sites, in units of the cell vectors:
Pb: 0.000 0.500 0.000
Pb: 0.000 0.000 0.500
Pb: 0.500 0.000 0.000
Sc: 0.500 0.500 0.500
Pd: 0.000 0.000 0.000

## Properties
* DOS(E_F): 5.4 states/eV/f.u.

=====

x) VASP calculation (PBE) on a geometry-optimized ScPdPb3 structure.

a = 5.530 Å, b = 5.530 Å, c = 5.530 Å
α = 90.00°, β = 90.00°, γ = 90.00°
Sites, in units of the cell vectors:
Pb: 0.000 0.500 0.000
Pb: 0.000 0.000 0.500
Pb: 0.500 0.000 0.000
Sc: 0.000 0.000 0.000
Pd: 0.500 0.500 0.500

## Properties
* DOS(E_F): 4.7 states/eV/f.u.

=====

Stability check: which of them is most stable? w).

=====

w) VASP calculation (PBE) on a geometry-optimized ScPd6Pb structure.

a = 7.025 Å, b = 7.712 Å, c = 5.218 Å
α = 42.38°, β = 47.61°, γ = 56.74°
Sites, in units of the cell vectors:
Sc: 0.500 0.500 0.500
Pd: 0.943 0.456 0.852
Pd: 0.749 0.942 0.764
Pd: 0.456 0.251 0.350
Pd: 0.251 0.058 0.236
Pd: 0.057 0.544 0.148
Pd: 0.544 0.749 0.650
Pb: 0.000 0.000 0.000

## Properties
* DOS(E_F): 3.5 states/eV/f.u.

=====

x) VASP calculation (PBE) on a geometry-optimized ScPd6Pb structure.

a = 4.065 Å, b = 4.065 Å, c = 8.097 Å
α = 90.00°, β = 90.00°, γ = 90.00°
Sites, in units of the cell vectors:
Sc: 0.000 0.000 0.000
Pd: 0.500 0.500 0.000
Pd: 0.500 0.500 0.500
Pd: 0.500 0.000 0.242
Pd: 0.500 0.000 0.758
Pd: 0.000 0.500 0.242
Pd: 0.000 0.500 0.758
Pb: 0.000 0.000 0.500

## Properties
* DOS(E_F): 2.3 states/eV/f.u.

=====

Stability check: which of them is most stable? x).

=====

w) VASP calculation (PBE) on a geometry-optimized ScPd2Pb2 structure.

a = 7.048 Å, b = 7.048 Å, c = 4.422 Å
α = 90.00°, β = 90.00°, γ = 90.00°
Sites, in units of the cell vectors:
Pb: 0.175 0.675 0.500
Pb: 0.675 0.825 0.500
Pb: 0.825 0.325 0.500
Pb: 0.325 0.175 0.500
Sc: 0.000 0.000 0.000
Sc: 0.500 0.500 0.000
Pd: 0.364 0.864 0.000
Pd: 0.864 0.636 0.000
Pd: 0.636 0.136 0.000
Pd: 0.136 0.364 0.000

## Properties
* DOS(E_F): 3.4 states/eV/f.u.

=====

x) VASP calculation (PBE) on a geometry-optimized ScPd2Pb2 structure.

a = 8.053 Å, b = 8.053 Å, c = 3.341 Å
α = 90.00°, β = 90.00°, γ = 90.00°
Last column: magnetic moment on the atom in μB.
Sites, in units of the cell vectors:
Pb: 0.351 0.851 0.000  0.00
Pb: 0.851 0.649 0.000  0.01
Pb: 0.649 0.149 0.000  0.00
Pb: 0.149 0.351 0.000  0.01
Sc: 0.000 0.000 0.000  0.36
Sc: 0.500 0.500 0.000  0.36
Pd: 0.148 0.648 0.500  0.01
Pd: 0.648 0.852 0.500  0.02
Pd: 0.852 0.352 0.500  0.01
Pd: 0.352 0.148 0.500  0.02

## Properties
* DOS(E_F): 4.1 states/eV/f.u.

=====

Stability check: which of them is most stable? w).